The following is a GGA-PBE calculation of an optimized crystal structure of Ba6Na2AsIr, from Alexandria via LeMat-Bulk.

Output
- D(E_F) (states/eV per cell) = 21.4
- formation energy (eV/atom) = -0.284
- size of the total moment (μB/f.u.) = 0.000
- E (eV per atom) = -3.052

a = 9.013 Å, b = 12.745 Å, c = 9.010 Å
α = 90.00°, β = 90.00°, γ = 90.00°
Space group Pmmn (No. 59, origin choice 2)
Symmetry-distinct sites (fractional):
Ba: 0.006 0.250 0.006 (multiplicity 4)
Ba: 0.006 0.250 0.493 (multiplicity 4)
Ba: 0.250 0.006 0.250 (multiplicity 4)
Na: 0.250 0.000 0.750 (multiplicity 4)
As: 0.250 0.750 0.251 (multiplicity 2)
Ir: 0.250 0.250 0.249 (multiplicity 2)